# Ba3PuNi2O9 (PBE with a Hubbard U, optimized geometry)
data_Ba3PuNi2O9
_chemical_formula_sum 'Ba3 Pu1 Ni2 O9'
_symmetry_space_group_name_H-M 'P -3 m 1'
_symmetry_Int_Tables_number 164
_symmetry_space_group_name_Hall '-P 3 2"'
_cell_length_a 5.8197
_cell_length_b 5.8197
_cell_length_c 7.2998
_cell_angle_alpha 90.00
_cell_angle_beta 90.00
_cell_angle_gamma 120.00
loop_
_atom_site_label
_atom_site_fract_x
_atom_site_fract_y
_atom_site_fract_z
_atom_site_occupancy
Ba1 0.0000 0.0000 0.0000 1
Ba2 0.3333 0.6667 0.6980 1
Pu1 0.0000 0.0000 0.5000 1
Ni1 0.3333 0.6667 0.1566 1
O1 0.0000 0.5000 0.0000 1
O2 0.1633 0.3266 0.3388 1
# Total DFT energy (no corrections) = -6.8069 eV/atom